No. 1
HfN2Cl, optimized geometry, DFT PBE-GGA; total magnetic moment = 3.000 μB/f.u.; density = 4.85 g/cm3; energy = -6.8265 eV/atom
1.0
-1.8450 -4.0833 3.4493
3.8249 1.5404 3.8695
-2.4296 2.0215 5.7286
Cl Hf N
2 2 4
direct
0.5000 0.5000 0.0000
0.2500 0.7500 0.5000
0.7500 0.2500 0.5000
0.0000 0.0000 0.0000
0.3750 0.2475 0.7500
0.8750 0.0025 0.7500
0.7525 0.1250 0.2500
0.9975 0.6250 0.2500

No. 2
NdScCu2S4, optimized geometry, DFT PBE-GGA; total magnetic moment = 0.000 μB/f.u.; density = 4.56 g/cm3; energy = -5.6393 eV/atom
1.0
6.3545 0.0000 0.0000
3.1772 5.0664 0.1119
3.1772 0.5268 5.0402
Sc S Nd Cu
1 4 1 2
direct
0.5000 0.5000 0.5000
0.5386 0.4791 0.8962
0.4614 0.1038 0.5209
0.9139 0.5209 0.1038
0.0861 0.8962 0.4791
0.0000 0.0000 0.0000
0.8314 0.6686 0.6686
0.1686 0.3314 0.3314

No. 3
Mn3NbH, optimized geometry, DFT PBE-GGA; total magnetic moment = 4.730 μB/f.u.; density = 7.86 g/cm3; energy = -8.1342 eV/atom
1.0
3.7952 0.0000 0.0000
0.0000 3.7952 0.0000
0.0000 0.0000 3.7952
Nb H Mn
1 1 3
direct
0.5000 0.5000 0.5000
0.0000 0.0000 0.0000
0.0000 0.5000 0.0000
0.5000 0.0000 0.0000
0.0000 0.0000 0.5000